Material: NaZn2HSe2O7
Method: DFT, PBE
State: optimized geometry

As for the calculated total energy: -257.58 eV per cell.

The space group is Pnma (No. 62) and the conventional cell measures 13.535, 6.170 and 8.495 Å, with angles of 90.00, 90.00 and 90.00 degrees. Symmetry generates all atoms from Na at (0.249, 0.250, 0.130), Zn at (0.000, 0.000, 0.000), Zn at (0.113, 0.750, 0.289), H at (0.156, 0.750, 0.975), Se at (0.025, 0.250, 0.382), Se at (0.170, 0.250, 0.775), O at (0.017, 0.030, 0.254), O at (0.090, 0.750, 0.532), O at (0.096, 0.750, 0.039), O at (0.111, 0.250, 0.960) and O at (0.245, 0.543, 0.300).